*one*
Compound: Er6TeO12
Source: Alexandria via LeMat-Bulk
Functional: GGA-PBE
Structure: relaxed

N(E_F): 0.00 states/eV/f.u.
Space group: R-3, No. 148

Cell and atoms, written as POSCAR:
```
Er6TeO12
1.0
-3.6519 4.8460 2.1443
-4.3630 -4.7210 0.3080
3.2094 -1.2807 5.4293
O Er Te
12 6 1
Direct
0.9643 0.2995 0.0732
0.0357 0.7005 0.9268
0.5682 0.4080 0.8226
0.7005 0.9268 0.0357
0.2995 0.0732 0.9643
0.5920 0.1774 0.4318
0.8226 0.5682 0.4080
0.4318 0.5920 0.1774
0.0732 0.9643 0.2995
0.1774 0.4318 0.5920
0.9268 0.0357 0.7005
0.4080 0.8226 0.5682
0.1450 0.6100 0.3170
0.8550 0.3900 0.6830
0.6830 0.8550 0.3900
0.6100 0.3170 0.1450
0.3170 0.1450 0.6100
0.3900 0.6830 0.8550
0.0000 0.0000 0.0000
```

---

*two*
Compound: Er6TeO12
Source: Alexandria via LeMat-Bulk
Functional: GGA-PBE
Structure: relaxed

N(E_F): 0.00 states/eV/f.u.
Space group: P-1, No. 2

Cell and atoms, written as POSCAR:
```
Er6TeO12
1.0
6.5552 -0.3035 0.1795
2.8895 5.5993 0.3123
1.9254 2.1103 9.0634
O Er Te
12 6 1
Direct
0.2167 0.3169 0.2414
0.7833 0.6831 0.7586
0.8426 0.2069 0.5467
0.6315 0.4905 0.2253
0.9613 0.3069 0.0212
0.6810 0.1039 0.9588
0.0598 0.1033 0.7875
0.3685 0.5095 0.7747
0.3190 0.8961 0.0412
0.0387 0.6931 0.9788
0.1574 0.7931 0.4533
0.9402 0.8967 0.2125
0.7201 0.4015 0.7111
0.6971 0.6926 0.9947
0.3029 0.3074 0.0053
0.2799 0.5985 0.2889
0.0602 0.8143 0.6779
0.9398 0.1857 0.3221
0.0000 0.0000 0.0000
```

---

Which one sits at the bottom of the stability order? *two* does.

---

*one*
Compound: Er2TiO5
Source: Alexandria via LeMat-Bulk
Functional: GGA-PBE
Structure: relaxed

N(E_F): 0.00 states/eV/f.u.
Space group: Cc, No. 9

Cell and atoms, written as POSCAR:
```
Er2TiO5
1.0
-3.7080 -3.1467 4.1403
-1.6420 -6.1654 0.2907
4.0461 -3.8887 5.2209
O Er Ti
10 4 2
Direct
0.2411 0.6150 0.9572
0.0361 0.3048 0.3587
0.1860 0.8182 0.2595
0.7488 0.3953 0.0434
0.9711 0.6904 0.6476
0.3048 0.0361 0.8587
0.6904 0.9711 0.1476
0.3953 0.7488 0.5434
0.6150 0.2411 0.4572
0.8182 0.1860 0.7595
0.6313 0.6482 0.7519
0.6482 0.6313 0.2519
0.3681 0.3623 0.7485
0.3623 0.3681 0.2485
0.0184 0.9800 0.4746
0.9800 0.0184 0.9746
```

---

*two*
Compound: Er2TiO5
Source: Alexandria via LeMat-Bulk
Functional: GGA-PBE
Structure: relaxed

N(E_F): 0.00 states/eV/f.u.
Space group: Pnma, No. 62

Cell and atoms, written as POSCAR:
```
Er2TiO5
1.0
3.6712 0.0000 0.0000
0.0000 10.3503 0.0000
0.0000 0.0000 11.2489
O Er Ti
20 8 4
Direct
0.2500 0.2623 0.1156
0.2500 0.7547 0.7290
0.2500 0.7244 0.0445
0.7500 0.2377 0.6156
0.7500 0.7756 0.5445
0.2500 0.4941 0.3949
0.2500 0.5040 0.8458
0.2500 0.2244 0.4555
0.7500 0.4960 0.1542
0.2500 0.0040 0.6542
0.7500 0.5059 0.6051
0.7500 0.9960 0.3458
0.2500 0.7623 0.3844
0.7500 0.7377 0.8844
0.2500 0.9941 0.1051
0.2500 0.2547 0.7710
0.7500 0.2453 0.2710
0.7500 0.7453 0.2290
0.7500 0.2756 0.9555
0.7500 0.0059 0.8949
0.2500 0.1174 0.2756
0.7500 0.8649 0.0560
0.2500 0.1351 0.9440
0.2500 0.6351 0.5560
0.7500 0.3826 0.7756
0.7500 0.8826 0.7244
0.7500 0.3649 0.4440
0.2500 0.6174 0.2244
0.2500 0.6723 0.8816
0.7500 0.8277 0.3816
0.7500 0.3277 0.1184
0.2500 0.1723 0.6184
```

---

*three*
Compound: Er2TiO5
Source: Alexandria via LeMat-Bulk
Functional: GGA-PBE
Structure: relaxed

N(E_F): 0.00 states/eV/f.u.
Space group: Cmcm, No. 63

Cell and atoms, written as POSCAR:
```
Er2TiO5
1.0
5.8429 -0.0090 0.0000
-4.4295 3.8104 0.0000
0.0000 0.0000 10.4502
O Er Ti
10 4 2
Direct
0.2901 0.7099 0.4093
0.0502 0.9498 0.1229
0.9498 0.0502 0.8771
0.7099 0.2901 0.5907
0.0502 0.9498 0.3771
0.2749 0.7251 0.7500
0.7099 0.2901 0.9093
0.2901 0.7099 0.0907
0.9498 0.0502 0.6229
0.7251 0.2749 0.2500
0.8564 0.1436 0.0696
0.8564 0.1436 0.4304
0.1436 0.8564 0.9304
0.1436 0.8564 0.5696
0.1703 0.8297 0.2500
0.8297 0.1703 0.7500
```

---

*four*
Compound: Er2TiO5
Source: Alexandria via LeMat-Bulk
Functional: GGA-PBE
Structure: relaxed

N(E_F): 0.00 states/eV/f.u.
Space group: Pnma, No. 62

Cell and atoms, written as POSCAR:
```
Er2TiO5
1.0
-1.9460 1.3095 -2.7034
4.6364 -3.2368 -4.9053
-8.7280 -12.7001 0.1308
O Ti Er
20 4 8
Direct
0.2500 0.4063 0.1494
0.7500 0.6041 0.0393
0.2500 0.8959 0.5393
0.7500 0.0981 0.1723
0.2500 0.9019 0.8277
0.7500 0.7358 0.6799
0.2500 0.7642 0.1799
0.7500 0.1428 0.9895
0.2500 0.2642 0.3201
0.2500 0.9063 0.3506
0.7500 0.5981 0.3277
0.7500 0.5937 0.8506
0.2500 0.3959 0.9607
0.7500 0.2358 0.8201
0.2500 0.8572 0.0105
0.2500 0.4019 0.6723
0.7500 0.6428 0.5105
0.7500 0.0937 0.6494
0.7500 0.1041 0.4607
0.2500 0.3572 0.4895
0.2500 0.1334 0.4204
0.2500 0.6334 0.0796
0.7500 0.3666 0.9204
0.7500 0.8666 0.5796
0.2500 0.6375 0.7593
0.7500 0.8649 0.9234
0.7500 0.8625 0.2593
0.2500 0.6351 0.4234
0.7500 0.3625 0.2407
0.7500 0.3649 0.5766
0.2500 0.1351 0.0766
0.2500 0.1375 0.7407
```

---

Which one sits at the bottom of the stability order? *one* does.

---

*one*
Compound: Er2TlO
Source: Alexandria via LeMat-Bulk
Functional: GGA-PBE
Structure: relaxed

N(E_F): 3.60 states/eV/f.u.
Space group: C2/m, No. 12

Cell and atoms, written as POSCAR:
```
Er2TlO
1.0
-3.3890 2.0604 2.1023
-1.4321 -3.9550 1.5675
5.0022 1.0013 7.0396
Er Tl O
4 2 2
Direct
0.7511 0.7511 0.8289
0.7499 0.2501 0.5000
0.2501 0.7499 0.5000
0.2489 0.2489 0.1711
0.7487 0.7487 0.1976
0.2513 0.2513 0.8024
0.2495 0.2495 0.4311
0.7505 0.7505 0.5689
```

---

*two*
Compound: Er2TlO
Source: Alexandria via LeMat-Bulk
Functional: GGA-PBE
Structure: relaxed

N(E_F): 1.42 states/eV/f.u.
Space group: Pnma, No. 62

Cell and atoms, written as POSCAR:
```
Er2TlO
1.0
3.7453 0.0000 0.0000
0.0000 7.5124 0.0000
0.0000 0.0000 13.2402
O Er Tl
4 8 4
Direct
0.2500 0.0415 0.4201
0.2500 0.5415 0.0799
0.7500 0.4585 0.9201
0.7500 0.9585 0.5799
0.2500 0.3171 0.9577
0.7500 0.1024 0.7217
0.2500 0.3976 0.2217
0.7500 0.6024 0.7783
0.7500 0.1829 0.4577
0.7500 0.6829 0.0423
0.2500 0.8976 0.2783
0.2500 0.8171 0.5423
0.7500 0.0926 0.1251
0.7500 0.5926 0.3749
0.2500 0.4074 0.6251
0.2500 0.9074 0.8749
```

---

Which one sits at the bottom of the stability order? *one* does.